# 1
The following is a PBE-GGA calculation of a relaxed structure of SiOs2Au, from the Alexandria database.

Its uncorrected formation energy is 0.146 eV per atom. The calculated total energy comes out at -91.7 eV per cell.

The structure belongs to space group R-3m (No. 166, hexagonal axes); the cell edges are 2.7970, 2.7970 and 26.3173 Å and the angles 90.00°, 90.00° and 120.00°. The inequivalent atoms are Si at (0.0000, 0.0000, 0.0000), Os at (0.0000, 0.0000, 0.2622) and Au at (0.0000, 0.0000, 0.5000).

# 2
The following is a PBE-GGA calculation of a relaxed structure of SiOsAu3, from the Alexandria database.

Its uncorrected formation energy is 1.197 eV per atom. The calculated total energy comes out at -20.5 eV per cell.

The structure belongs to space group Pm-3m (No. 221); the cell edges are 4.6365, 4.6365 and 4.6365 Å and the angles 90.00°, 90.00° and 90.00°. The inequivalent atoms are Si at (0.0000, 0.0000, 0.0000), Os at (0.5000, 0.5000, 0.5000) and Au at (0.0000, 0.0000, 0.5000).

# 3
The following is a PBE-GGA calculation of a relaxed structure of SiOs4Au, from the Alexandria database.

Its uncorrected formation energy is 1.058 eV per atom. The calculated total energy comes out at -189.1 eV per cell.

The structure belongs to space group F-43m (No. 216); the cell edges are 7.3269, 7.3269 and 7.3269 Å and the angles 90.00°, 90.00° and 90.00°. The inequivalent atoms are Si at (0.0000, 0.0000, 0.0000), Os at (0.1250, 0.1250, 0.3750) and Au at (0.2500, 0.2500, 0.7500).

# 4
The following is a PBE-GGA calculation of a relaxed structure of SiOs2Au, from the Alexandria database.

Its uncorrected formation energy is 0.708 eV per atom. The calculated total energy comes out at -113.3 eV per cell.

The structure belongs to space group F-43m (No. 216); the cell edges are 6.2378, 6.2378 and 6.2378 Å and the angles 90.00°, 90.00° and 90.00°. The inequivalent atoms are Si at (0.0000, 0.0000, 0.0000), Os at (0.0000, 0.0000, 0.5000), Os at (0.2500, 0.2500, 0.7500) and Au at (0.2500, 0.2500, 0.2500).

# 5
The following is a PBE-GGA calculation of a relaxed structure of SiOsAu2, from the Alexandria database.

Its uncorrected formation energy is 0.287 eV per atom. The calculated total energy comes out at -44.1 eV per cell.

The structure belongs to space group Cmm2 (No. 35); the cell edges are 3.0170, 4.8685 and 8.9050 Å and the angles 90.00°, 90.00° and 90.00°. The inequivalent atoms are Si at (0.0000, 0.0000, 0.0000), Os at (0.0000, 0.5000, 0.1970), Au at (0.0000, 0.0000, 0.4750) and Au at (0.0000, 0.5000, 0.7575).

# 6
The following is a PBE-GGA calculation of a relaxed structure of Si2OsAu, from the Alexandria database.

Its uncorrected formation energy is 0.670 eV per atom. The calculated total energy comes out at -90.7 eV per cell.

The structure belongs to space group F-43m (No. 216); the cell edges are 6.2776, 6.2776 and 6.2776 Å and the angles 90.00°, 90.00° and 90.00°. The inequivalent atoms are Si at (0.0000, 0.0000, 0.0000), Si at (0.2500, 0.2500, 0.2500), Os at (0.0000, 0.0000, 0.5000) and Au at (0.2500, 0.2500, 0.7500).

# 7
The following is a PBE-GGA calculation of a relaxed structure of Si2OsAu, from the Alexandria database.

Its uncorrected formation energy is 0.210 eV per atom. The calculated total energy comes out at -73.5 eV per cell.

The structure belongs to space group R3m (No. 160, hexagonal axes); the cell edges are 3.0019, 3.0019 and 23.3760 Å and the angles 90.00°, 90.00° and 120.00°. The inequivalent atoms are Si at (0.0000, 0.0000, 0.0000), Si at (0.0000, 0.0000, 0.2553), Os at (0.0000, 0.0000, 0.5168) and Au at (0.0000, 0.0000, 0.7487).

# 8
The following is a PBE-GGA calculation of a relaxed structure of Si2OsAu2, from the Alexandria database.

Its uncorrected formation energy is 0.781 eV per atom. The calculated total energy comes out at -49.5 eV per cell.

The structure belongs to space group I4/mmm (No. 139); the cell edges are 3.4285, 3.4285 and 14.2357 Å and the angles 90.00°, 90.00° and 90.00°. The inequivalent atoms are Si at (0.0000, 0.5000, 0.2500), Os at (0.0000, 0.0000, 0.0000) and Au at (0.0000, 0.0000, 0.3980).